## A
Computed, not measured: a relaxed Ho7Er12Zr crystal at the PBE level of DFT.

Geometry as CIF:
```
data_Ho7Er12Zr
_cell_length_a 11.250
_cell_length_b 11.250
_cell_length_c 11.250
_cell_angle_alpha 90.00
_cell_angle_beta 90.00
_cell_angle_gamma 90.00
_space_group_name_H-M_alt 'I m -3'
_space_group_IT_number 204
_space_group_name_Hall '-I 2 2 3'
loop_
_atom_site_label
_atom_site_type_symbol
_atom_site_fract_x
_atom_site_fract_y
_atom_site_fract_z
Ho1 Ho 0.000 0.000 0.500
Ho2 Ho 0.250 0.250 0.250
Er1 Er 0.000 0.218 0.219
Zr1 Zr 0.000 0.000 0.000
```

Calculated values
M_tot ... 0.00 Bohr magnetons per cell
Calculated volume ... 1424 Å³/cell

## B
Computed, not measured: a relaxed Ho7Er12Zr crystal at the PBE level of DFT.

Geometry as CIF:
```
data_Ho7Er12Zr
_cell_length_a 12.2039
_cell_length_b 12.2039
_cell_length_c 14.7631
_cell_angle_alpha 90.00
_cell_angle_beta 90.00
_cell_angle_gamma 120.00
_space_group_name_H-M_alt 'R -3'
_space_group_IT_number 148
_space_group_name_Hall '-R 3'
loop_
_atom_site_label
_atom_site_type_symbol
_atom_site_fract_x
_atom_site_fract_y
_atom_site_fract_z
Ho1 Ho 0.0000 0.0000 0.0000
Ho2 Ho 0.0714 0.8316 0.4065
Er1 Er 0.0202 0.4394 0.7115
Er2 Er 0.0438 0.1865 0.8096
Zr1 Zr 0.0000 0.0000 0.5000
```

Calculated values
M_tot ... 5.14 Bohr magnetons per cell
Calculated volume ... 1904 Å³/cell

Stability check: which of them is most stable? B.

## A
Computed, not measured: a relaxed Ho4Er7Zr crystal at the PBE level of DFT.

Geometry as CIF:
```
data_Ho4Er7Zr
_cell_length_a 6.079
_cell_length_b 7.040
_cell_length_c 8.639
_cell_angle_alpha 90.01
_cell_angle_beta 103.68
_cell_angle_gamma 90.04
_space_group_name_H-M_alt 'P -1'
_space_group_IT_number 2
loop_
_space_group_symop_operation_xyz
'x,y,z'
'-x,-y,-z'
loop_
_atom_site_label
_atom_site_type_symbol
_atom_site_fract_x
_atom_site_fract_y
_atom_site_fract_z
Ho1 Ho 0.217 0.000 0.174
Ho2 Ho 0.275 0.754 0.828
Er1 Er 0.000 0.500 0.500
Er2 Er 0.224 0.500 0.163
Er3 Er 0.275 0.245 0.828
Er4 Er 0.500 0.243 0.500
Zr1 Zr 0.000 0.000 0.500
```

Calculated values
M_tot ... 0.00 Bohr magnetons per cell
Calculated volume ... 359 Å³/cell

## B
Computed, not measured: a relaxed Ho4Er7Zr crystal at the PBE level of DFT.

Geometry as CIF:
```
data_Ho4Er7Zr
_cell_length_a 15.838
_cell_length_b 5.716
_cell_length_c 9.162
_cell_angle_alpha 90.00
_cell_angle_beta 116.96
_cell_angle_gamma 90.00
_space_group_name_H-M_alt 'C 1 2/m 1'
_space_group_IT_number 12
loop_
_space_group_symop_operation_xyz
'x,y,z'
'-x,-y,-z'
'-x,y,-z'
'x,-y,z'
'x+1/2,y+1/2,z'
'-x+1/2,-y+1/2,-z'
'-x+1/2,y+1/2,-z'
'x+1/2,-y+1/2,z'
loop_
_atom_site_label
_atom_site_type_symbol
_atom_site_fract_x
_atom_site_fract_y
_atom_site_fract_z
Ho1 Ho 0.077 0.000 0.198
Ho2 Ho 0.176 0.000 0.892
Er1 Er 0.000 0.000 0.500
Er2 Er 0.074 0.500 0.924
Er3 Er 0.202 0.500 0.721
Er4 Er 0.208 0.500 0.372
Zr1 Zr 0.000 0.500 0.500
```

Calculated values
M_tot ... 0.00 Bohr magnetons per cell
Calculated volume ... 739 Å³/cell

Stability check: which of them is most stable? A.

## A
Computed, not measured: a relaxed Ho2Er8Zr crystal at the PBE level of DFT.

Geometry as CIF:
```
data_Ho2Er8Zr
_cell_length_a 17.208
_cell_length_b 5.349
_cell_length_c 8.086
_cell_angle_alpha 90.00
_cell_angle_beta 116.68
_cell_angle_gamma 90.00
_space_group_name_H-M_alt 'C 1 2/m 1'
_space_group_IT_number 12
loop_
_space_group_symop_operation_xyz
'x,y,z'
'-x,-y,-z'
'-x,y,-z'
'x,-y,z'
'x+1/2,y+1/2,z'
'-x+1/2,-y+1/2,-z'
'-x+1/2,y+1/2,-z'
'x+1/2,-y+1/2,z'
loop_
_atom_site_label
_atom_site_type_symbol
_atom_site_fract_x
_atom_site_fract_y
_atom_site_fract_z
Ho1 Ho 0.202 0.000 0.165
Er1 Er 0.014 0.000 0.227
Er2 Er 0.118 0.500 0.928
Er3 Er 0.155 0.500 0.384
Er4 Er 0.156 0.000 0.687
Zr1 Zr 0.000 0.500 0.500
```

Calculated values
M_tot ... 0.00 Bohr magnetons per cell
Calculated volume ... 665 Å³/cell

## B
Computed, not measured: a relaxed Ho2Er8Zr crystal at the PBE level of DFT.

Geometry as CIF:
```
data_Ho2Er8Zr
_cell_length_a 17.732
_cell_length_b 4.906
_cell_length_c 7.785
_cell_angle_alpha 90.00
_cell_angle_beta 105.27
_cell_angle_gamma 90.00
_space_group_name_H-M_alt 'C 1 2/m 1'
_space_group_IT_number 12
loop_
_space_group_symop_operation_xyz
'x,y,z'
'-x,-y,-z'
'-x,y,-z'
'x,-y,z'
'x+1/2,y+1/2,z'
'-x+1/2,-y+1/2,-z'
'-x+1/2,y+1/2,-z'
'x+1/2,-y+1/2,z'
loop_
_atom_site_label
_atom_site_type_symbol
_atom_site_fract_x
_atom_site_fract_y
_atom_site_fract_z
Ho1 Ho 0.226 0.000 0.135
Er1 Er 0.044 0.000 0.236
Er2 Er 0.089 0.500 0.945
Er3 Er 0.132 0.000 0.675
Er4 Er 0.179 0.500 0.410
Zr1 Zr 0.000 0.500 0.500
```

Calculated values
M_tot ... 0.00 Bohr magnetons per cell
Calculated volume ... 653 Å³/cell

Stability check: which of them is most stable? B.

## A
Computed, not measured: a relaxed Ho8Er2Zr crystal at the PBE level of DFT.

Geometry as CIF:
```
data_Ho8Er2Zr
_cell_length_a 17.776
_cell_length_b 4.920
_cell_length_c 7.810
_cell_angle_alpha 90.00
_cell_angle_beta 105.29
_cell_angle_gamma 90.00
_space_group_name_H-M_alt 'C 1 2/m 1'
_space_group_IT_number 12
loop_
_space_group_symop_operation_xyz
'x,y,z'
'-x,-y,-z'
'-x,y,-z'
'x,-y,z'
'x+1/2,y+1/2,z'
'-x+1/2,-y+1/2,-z'
'-x+1/2,y+1/2,-z'
'x+1/2,-y+1/2,z'
loop_
_atom_site_label
_atom_site_type_symbol
_atom_site_fract_x
_atom_site_fract_y
_atom_site_fract_z
Ho1 Ho 0.044 0.000 0.236
Ho2 Ho 0.089 0.500 0.945
Ho3 Ho 0.132 0.000 0.676
Ho4 Ho 0.179 0.500 0.410
Er1 Er 0.226 0.000 0.134
Zr1 Zr 0.000 0.500 0.500
```

Calculated values
M_tot ... 0.00 Bohr magnetons per cell
Calculated volume ... 659 Å³/cell

## B
Computed, not measured: a relaxed Ho8Er2Zr crystal at the PBE level of DFT.

Geometry as CIF:
```
data_Ho8Er2Zr
_cell_length_a 16.482
_cell_length_b 6.444
_cell_length_c 6.523
_cell_angle_alpha 90.00
_cell_angle_beta 102.29
_cell_angle_gamma 90.00
_space_group_name_H-M_alt 'C 1 2/m 1'
_space_group_IT_number 12
loop_
_space_group_symop_operation_xyz
'x,y,z'
'-x,-y,-z'
'-x,y,-z'
'x,-y,z'
'x+1/2,y+1/2,z'
'-x+1/2,-y+1/2,-z'
'-x+1/2,y+1/2,-z'
'x+1/2,-y+1/2,z'
loop_
_atom_site_label
_atom_site_type_symbol
_atom_site_fract_x
_atom_site_fract_y
_atom_site_fract_z
Ho1 Ho 0.080 0.244 0.389
Ho2 Ho 0.094 0.000 0.915
Ho3 Ho 0.246 0.500 0.339
Er1 Er 0.185 0.500 0.823
Zr1 Zr 0.000 0.500 0.000
```

Calculated values
M_tot ... 0.01 Bohr magnetons per cell
Calculated volume ... 677 Å³/cell

Stability check: which of them is most stable? A.

## A
Computed, not measured: a relaxed Na2ErI5 crystal at the PBE level of DFT.

Geometry as CIF:
```
data_Na2ErI5
_cell_length_a 15.584
_cell_length_b 8.037
_cell_length_c 11.294
_cell_angle_alpha 90.00
_cell_angle_beta 111.10
_cell_angle_gamma 90.00
_space_group_name_H-M_alt 'C 1 c 1'
_space_group_IT_number 9
loop_
_space_group_symop_operation_xyz
'x,y,z'
'x,-y,z+1/2'
'x+1/2,y+1/2,z'
'x+1/2,-y+1/2,z+1/2'
loop_
_atom_site_label
_atom_site_type_symbol
_atom_site_fract_x
_atom_site_fract_y
_atom_site_fract_z
Na1 Na 0.000 0.024 0.000
Na2 Na 0.259 0.475 0.588
Er1 Er 0.380 0.000 0.294
I1 I 0.067 0.360 0.926
I2 I 0.192 0.139 0.662
I3 I 0.294 0.316 0.343
I4 I 0.380 0.165 0.044
I5 I 0.466 0.316 0.745
```

Calculated values
M_tot ... 0.00 Bohr magnetons per cell
Calculated volume ... 1320 Å³/cell

## B
Computed, not measured: a relaxed Na2ErI5 crystal at the PBE level of DFT.

Geometry as CIF:
```
data_Na2ErI5
_cell_length_a 6.122
_cell_length_b 15.629
_cell_length_c 15.310
_cell_angle_alpha 90.00
_cell_angle_beta 90.00
_cell_angle_gamma 90.00
_space_group_name_H-M_alt 'C m c m'
_space_group_IT_number 63
_space_group_name_Hall '-C 2c 2'
loop_
_atom_site_label
_atom_site_type_symbol
_atom_site_fract_x
_atom_site_fract_y
_atom_site_fract_z
Na1 Na 0.000 0.155 0.055
Er1 Er 0.000 0.186 0.750
I1 I 0.000 0.048 0.620
I2 I 0.000 0.286 0.250
I3 I 0.000 0.314 0.599
```

Calculated values
M_tot ... 0.00 Bohr magnetons per cell
Calculated volume ... 1465 Å³/cell

Stability check: which of them is most stable? A.

## A
Computed, not measured: a relaxed Nd2ErI crystal at the PBE level of DFT.

Geometry as CIF:
```
data_Nd2ErI
_cell_length_a 3.6488
_cell_length_b 3.6488
_cell_length_c 35.5002
_cell_angle_alpha 90.00
_cell_angle_beta 90.00
_cell_angle_gamma 120.00
_space_group_name_H-M_alt 'R -3 m'
_space_group_IT_number 166
_space_group_name_Hall '-R 3 2"'
loop_
_atom_site_label
_atom_site_type_symbol
_atom_site_fract_x
_atom_site_fract_y
_atom_site_fract_z
Nd1 Nd 0.0000 0.0000 0.0943
Er1 Er 0.0000 0.0000 0.0000
I1 I 0.0000 0.0000 0.5000
```

Calculated values
M_tot ... 0.31 Bohr magnetons per cell
Calculated volume ... 409 Å³/cell

## B
Computed, not measured: a relaxed Nd2ErI crystal at the PBE level of DFT.

Geometry as CIF:
```
data_Nd2ErI
_cell_length_a 3.700
_cell_length_b 3.700
_cell_length_c 9.685
_cell_angle_alpha 90.00
_cell_angle_beta 90.00
_cell_angle_gamma 90.00
_space_group_name_H-M_alt 'P 4/m m m'
_space_group_IT_number 123
_space_group_name_Hall '-P 4 2'
loop_
_atom_site_label
_atom_site_type_symbol
_atom_site_fract_x
_atom_site_fract_y
_atom_site_fract_z
Nd1 Nd 0.000 0.000 0.243
Er1 Er 0.500 0.500 0.500
I1 I 0.500 0.500 0.000
```

Calculated values
M_tot ... 0.00 Bohr magnetons per cell
Calculated volume ... 133 Å³/cell

## C
Computed, not measured: a relaxed Nd2ErI crystal at the PBE level of DFT.

Geometry as CIF:
```
data_Nd2ErI
_cell_length_a 3.8270
_cell_length_b 3.8270
_cell_length_c 32.0436
_cell_angle_alpha 90.00
_cell_angle_beta 90.00
_cell_angle_gamma 120.00
_space_group_name_H-M_alt 'R 3 m'
_space_group_IT_number 160
_space_group_name_Hall 'R 3 -2"'
loop_
_atom_site_label
_atom_site_type_symbol
_atom_site_fract_x
_atom_site_fract_y
_atom_site_fract_z
Nd1 Nd 0.0000 0.0000 0.0000
Nd2 Nd 0.0000 0.0000 0.1738
Er1 Er 0.0000 0.0000 0.7539
I1 I 0.0000 0.0000 0.5870
```

Calculated values
M_tot ... 0.01 Bohr magnetons per cell
Calculated volume ... 406 Å³/cell

Stability check: which of them is most stable? C.

## A
Computed, not measured: a relaxed NdErI crystal at the PBE level of DFT.

Geometry as CIF:
```
data_NdErI
_cell_length_a 3.743
_cell_length_b 6.011
_cell_length_c 17.966
_cell_angle_alpha 90.00
_cell_angle_beta 90.00
_cell_angle_gamma 90.00
_space_group_name_H-M_alt 'I m m m'
_space_group_IT_number 71
_space_group_name_Hall '-I 2 2'
loop_
_atom_site_label
_atom_site_type_symbol
_atom_site_fract_x
_atom_site_fract_y
_atom_site_fract_z
Nd1 Nd 0.000 0.000 0.149
Er1 Er 0.000 0.254 0.500
I1 I 0.000 0.000 0.333
```

Calculated values
M_tot ... 0.01 Bohr magnetons per cell
Calculated volume ... 404 Å³/cell

## B
Computed, not measured: a relaxed NdErI crystal at the PBE level of DFT.

Geometry as CIF:
```
data_NdErI
_cell_length_a 5.4348
_cell_length_b 5.4348
_cell_length_c 3.8440
_cell_angle_alpha 90.00
_cell_angle_beta 90.00
_cell_angle_gamma 120.00
_space_group_name_H-M_alt 'P 3 m 1'
_space_group_IT_number 156
loop_
_space_group_symop_operation_xyz
'x,y,z'
'-y,x-y,z'
'-x+y,-x,z'
'-y,-x,z'
'-x+y,y,z'
'x,x-y,z'
loop_
_atom_site_label
_atom_site_type_symbol
_atom_site_fract_x
_atom_site_fract_y
_atom_site_fract_z
Nd1 Nd 0.0000 0.0000 0.0000
Er1 Er 0.3333 0.6667 0.4823
I1 I 0.6667 0.3333 0.3540
```

Calculated values
M_tot ... 0.00 Bohr magnetons per cell
Calculated volume ... 98 Å³/cell

Stability check: which of them is most stable? A.

## A
Computed, not measured: a relaxed Er2OsI crystal at the PBE level of DFT.

Geometry as CIF:
```
data_Er2OsI
_cell_length_a 3.451
_cell_length_b 3.451
_cell_length_c 8.378
_cell_angle_alpha 90.00
_cell_angle_beta 90.00
_cell_angle_gamma 90.00
_space_group_name_H-M_alt 'P 4/m m m'
_space_group_IT_number 123
_space_group_name_Hall '-P 4 2'
loop_
_atom_site_label
_atom_site_type_symbol
_atom_site_fract_x
_atom_site_fract_y
_atom_site_fract_z
Er1 Er 0.000 0.000 0.196
Os1 Os 0.500 0.500 0.000
I1 I 0.500 0.500 0.500
```

Calculated values
M_tot ... 0.00 Bohr magnetons per cell
Calculated volume ... 100 Å³/cell

## B
Computed, not measured: a relaxed Er2OsI crystal at the PBE level of DFT.

Geometry as CIF:
```
data_Er2OsI
_cell_length_a 4.0627
_cell_length_b 4.0627
_cell_length_c 23.4943
_cell_angle_alpha 90.00
_cell_angle_beta 90.00
_cell_angle_gamma 120.00
_space_group_name_H-M_alt 'R -3 m'
_space_group_IT_number 166
_space_group_name_Hall '-R 3 2"'
loop_
_atom_site_label
_atom_site_type_symbol
_atom_site_fract_x
_atom_site_fract_y
_atom_site_fract_z
Er1 Er 0.0000 0.0000 0.2271
Os1 Os 0.0000 0.0000 0.5000
I1 I 0.0000 0.0000 0.0000
```

Calculated values
M_tot ... 0.00 Bohr magnetons per cell
Calculated volume ... 336 Å³/cell

Stability check: which of them is most stable? A.